DFT (PBE) results for TiGeSb2Te after structural relaxation.

The structure in POSCAR format:
```
TiGeSb2Te
1.0
-0.438 5.164 0.844
-3.156 -0.936 4.090
4.211 -0.168 3.211
Sb Ge Te Ti
2 1 1 1
direct
0.000 0.500 0.000
0.500 0.000 0.000
0.000 0.000 0.000
0.000 0.000 0.500
0.500 0.500 0.500
```

Properties
**Space group**: P4/mmm (123)
**Raw formation energy**: 401.5 kJ/mol of formula units
**D(E_F)**: 1.360 states/eV per atom
**Distance to the lowest polymorph of the same formula**: 498 meV per atom
**Magnetic moment**: 0.06 μB/cell